(1)
# Zr2AsAu, relaxed, DFT PBE
data_Zr2AsAu
_space_group_name_H-M_alt 'I -4 2 d'
_space_group_IT_number 122
_space_group_name_Hall 'I -4 2bw'
_cell_length_a 7.4223
_cell_length_b 7.4223
_cell_length_c 6.1768
_cell_angle_alpha 90.00
_cell_angle_beta 90.00
_cell_angle_gamma 90.00
loop_
_atom_site_label
_atom_site_fract_x
_atom_site_fract_y
_atom_site_fract_z
_atom_site_occupancy
Zr1 0.2390 0.7500 0.1250 1
As1 0.0000 0.0000 0.0000 1
Au1 0.0000 0.0000 0.5000 1
# - V: 340.3 Å³ per cell

***

(2)
# Zr2AsAu, relaxed, DFT PBE
data_Zr2AsAu
_space_group_name_H-M_alt 'C 1 2/m 1'
_space_group_IT_number 12
_space_group_name_Hall '-C 2y'
_cell_length_a 6.1678
_cell_length_b 7.3237
_cell_length_c 3.4768
_cell_angle_alpha 90.00
_cell_angle_beta 90.15
_cell_angle_gamma 90.00
loop_
_atom_site_label
_atom_site_fract_x
_atom_site_fract_y
_atom_site_fract_z
_atom_site_occupancy
Zr1 0.2500 0.2500 0.0000 1
As1 0.0000 0.0000 0.5000 1
Au1 0.0000 0.5000 0.5000 1
# - V: 157.0 Å³ per cell

***

(3)
# Zr2AsAu2, relaxed, DFT PBE
data_Zr2AsAu2
_space_group_name_H-M_alt 'P 4/m b m'
_space_group_IT_number 127
_space_group_name_Hall '-P 4 2ab'
_cell_length_a 7.1384
_cell_length_b 7.1384
_cell_length_c 4.1885
_cell_angle_alpha 90.00
_cell_angle_beta 90.00
_cell_angle_gamma 90.00
loop_
_atom_site_label
_atom_site_fract_x
_atom_site_fract_y
_atom_site_fract_z
_atom_site_occupancy
Zr1 0.1630 0.3370 0.0000 1
As1 0.0000 0.0000 0.0000 1
Au1 0.1383 0.6383 0.5000 1
# - Distance to the lowest polymorph of the same formula: 0 meV/atom
# - V: 213.4 Å³ per cell

***

(4)
# Zr2AsAu, relaxed, DFT PBE
data_Zr2AsAu
_space_group_name_H-M_alt 'P m m m'
_space_group_IT_number 47
_space_group_name_Hall '-P 2 2'
_cell_length_a 3.6654
_cell_length_b 4.3687
_cell_length_c 4.9332
_cell_angle_alpha 90.00
_cell_angle_beta 90.00
_cell_angle_gamma 90.00
loop_
_atom_site_label
_atom_site_fract_x
_atom_site_fract_y
_atom_site_fract_z
_atom_site_occupancy
Zr1 0.0000 0.0000 0.0000 1
Zr2 0.0000 0.5000 0.5000 1
As1 0.5000 0.0000 0.5000 1
Au1 0.5000 0.5000 0.0000 1
# - V: 79.0 Å³ per cell

***

(5)
# ZrAsAu2, relaxed, DFT PBE
data_ZrAsAu2
_space_group_name_H-M_alt 'P 4/m m m'
_space_group_IT_number 123
_space_group_name_Hall '-P 4 2'
_cell_length_a 3.2163
_cell_length_b 3.2163
_cell_length_c 7.5622
_cell_angle_alpha 90.00
_cell_angle_beta 90.00
_cell_angle_gamma 90.00
loop_
_atom_site_label
_atom_site_fract_x
_atom_site_fract_y
_atom_site_fract_z
_atom_site_occupancy
Zr1 0.0000 0.0000 0.0000 1
As1 0.0000 0.0000 0.5000 1
Au1 0.5000 0.5000 0.2500 1
# - V: 78.2 Å³ per cell

***

(6)
# Zr2AsAu2, relaxed, DFT PBE
data_Zr2AsAu2
_space_group_name_H-M_alt 'P 4/m b m'
_space_group_IT_number 127
_space_group_name_Hall '-P 4 2ab'
_cell_length_a 7.1993
_cell_length_b 7.1993
_cell_length_c 3.9806
_cell_angle_alpha 90.00
_cell_angle_beta 90.00
_cell_angle_gamma 90.00
loop_
_atom_site_label
_atom_site_fract_x
_atom_site_fract_y
_atom_site_fract_z
_atom_site_occupancy
Zr1 0.1657 0.3343 0.0000 1
As1 0.0000 0.0000 0.5000 1
Au1 0.1341 0.6341 0.5000 1
# - Distance to the lowest polymorph of the same formula: 159 meV/atom
# - V: 206.3 Å³ per cell

***

no.,M_tot (μB/f.u.),uncorrected energy (eV per cell)
1,0.000,-107.7
2,0.000,-55.1
3,0.000,-61.8
4,0.000,-27.5
5,0.500,-20.7
6,0.000,-60.2